This record from Alexandria via LeMat-Bulk describes a geometry-optimized Cr2CuGeO6 structure. The functional is GGA+U.

## Properties
Total energy, eV/cell: -205.8

Structure (CIF):
```
data_Cr2CuGeO6
_cell_length_a 5.0681
_cell_length_b 5.0681
_cell_length_c 13.7797
_cell_angle_alpha 90.00
_cell_angle_beta 90.00
_cell_angle_gamma 120.00
_symmetry_space_group_name_H-M 'R 3'
_symmetry_Int_Tables_number 146
_symmetry_space_group_name_Hall 'R 3'
loop_
_atom_site_label
_atom_site_type_symbol
_atom_site_fract_x
_atom_site_fract_y
_atom_site_fract_z
Cr1 Cr 0.0000 0.0000 0.0000
Cr2 Cr 0.0000 0.0000 0.4965
Cu1 Cu 0.0000 0.0000 0.2903
Ge1 Ge 0.0000 0.0000 0.8001
O1 O 0.0097 0.3562 0.0714
O2 O 0.0467 0.6763 0.5643
```